1.
Here is crystalline BaTeN2F at its relaxed geometry from Alexandria. Energies are from PBE. Values from VASP.

formation energy from raw total energies = -0.43 eV per atom
offset from the most stable computed form = 0.00 eV/f.u.

The structure in Quantum ESPRESSO input format:
```
&SYSTEM
  ibrav = 0, nat = 5, ntyp = 4
/
ATOMIC_SPECIES
Ba 137.33 Ba.upf
Te 127.60 Te.upf
N 14.01 N.upf
F 19.00 F.upf
CELL_PARAMETERS angstrom
4.232 0.000 0.000
0.000 4.232 0.000
0.000 0.000 4.733
ATOMIC_POSITIONS crystal
Ba 0.000 0.000 0.000
Te 0.500 0.500 0.500
N 0.000 0.500 0.500
N 0.500 0.000 0.500
F 0.500 0.500 0.000
```


2.
Here is crystalline BaTiNF2 at its relaxed geometry from Alexandria. Energies are from PBE. Values from VASP.

formation energy from raw total energies = -2.35 eV per atom
offset from the most stable computed form = 0.00 eV/f.u.

The structure in Quantum ESPRESSO input format:
```
&SYSTEM
  ibrav = 0, nat = 5, ntyp = 4
/
ATOMIC_SPECIES
Ba 137.33 Ba.upf
Ti 47.87 Ti.upf
N 14.01 N.upf
F 19.00 F.upf
CELL_PARAMETERS angstrom
4.289 0.000 0.000
0.000 4.289 0.000
0.000 0.000 4.043
ATOMIC_POSITIONS crystal
Ba 0.000 0.000 0.000
Ti 0.500 0.500 0.500
N 0.500 0.500 0.000
F 0.000 0.500 0.500
F 0.500 0.000 0.500
```


3.
Here is crystalline Ba5TiN4F2 at its relaxed geometry from Alexandria. Energies are from PBE. Values from VASP.

formation energy from raw total energies = -1.49 eV per atom

The structure in Quantum ESPRESSO input format:
```
&SYSTEM
  ibrav = 0, nat = 12, ntyp = 4
/
ATOMIC_SPECIES
Ba 137.33 Ba.upf
Ti 47.87 Ti.upf
N 14.01 N.upf
F 19.00 F.upf
CELL_PARAMETERS angstrom
7.889 0.000 0.000
0.000 5.187 3.216
0.000 -5.187 3.216
ATOMIC_POSITIONS crystal
Ba 0.000 0.000 0.000
Ba 0.283 0.308 0.670
Ba 0.283 0.670 0.308
Ba 0.717 0.308 0.670
Ba 0.717 0.670 0.308
Ti 0.500 0.010 0.010
N 0.294 0.188 0.188
N 0.500 0.674 0.981
N 0.500 0.981 0.674
N 0.706 0.188 0.188
F 0.000 0.545 0.974
F 0.000 0.974 0.545
```


Copy entry 1 word for word.
Here is crystalline BaTeN2F at its relaxed geometry from Alexandria. Energies are from PBE. Values from VASP.

formation energy from raw total energies = -0.43 eV per atom
offset from the most stable computed form = 0.00 eV/f.u.

The structure in Quantum ESPRESSO input format:
```
&SYSTEM
  ibrav = 0, nat = 5, ntyp = 4
/
ATOMIC_SPECIES
Ba 137.33 Ba.upf
Te 127.60 Te.upf
N 14.01 N.upf
F 19.00 F.upf
CELL_PARAMETERS angstrom
4.232 0.000 0.000
0.000 4.232 0.000
0.000 0.000 4.733
ATOMIC_POSITIONS crystal
Ba 0.000 0.000 0.000
Te 0.500 0.500 0.500
N 0.000 0.500 0.500
N 0.500 0.000 0.500
F 0.500 0.500 0.000
```